# TiNbGaCu2 | the Alexandria database | GGA-PBE | optimized geometry
# **Energy of formation**: 0.717 eV per atom
data_TiNbGaCu2
_cell_length_a 4.304
_cell_length_b 4.304
_cell_length_c 4.751
_cell_angle_alpha 90.00
_cell_angle_beta 90.00
_cell_angle_gamma 90.00
_symmetry_space_group_name_H-M 'P 4/m m m'
_symmetry_Int_Tables_number 123
_symmetry_space_group_name_Hall '-P 4 2'
loop_
_atom_site_label
_atom_site_type_symbol
_atom_site_fract_x
_atom_site_fract_y
_atom_site_fract_z
_atom_site_occupancy
Ti1 Ti 0.000 0.000 0.000 1
Nb1 Nb 0.500 0.500 0.000 1
Ga1 Ga 0.000 0.000 0.500 1
Cu1 Cu 0.000 0.500 0.500 1

=====

# LiReSi2 | the Alexandria database | GGA-PBE | optimized geometry
# **Raw formation energy**: -24.2 meV per atom
data_LiReSi2
_cell_length_a 4.099
_cell_length_b 2.774
_cell_length_c 9.506
_cell_angle_alpha 90.00
_cell_angle_beta 90.00
_cell_angle_gamma 90.00
_symmetry_space_group_name_H-M 'A m m 2'
_symmetry_Int_Tables_number 38
_symmetry_space_group_name_Hall 'A 2 -2'
loop_
_atom_site_label
_atom_site_type_symbol
_atom_site_fract_x
_atom_site_fract_y
_atom_site_fract_z
_atom_site_occupancy
Li1 Li 0.000 0.000 0.000 1
Re1 Re 0.500 0.000 0.672 1
Si1 Si 0.000 0.000 0.256 1
Si2 Si 0.500 0.000 0.405 1